6
Lattice="1.6096 -4.8794 0.0000 1.6096 4.8794 0.0000 0.0000 0.0000 3.2070" Properties=species:S:1:pos:R:3 comment="Be5Cu | the Alexandria database | PBEsol | optimized geometry" volume_a3_per_atom=8.40 rho_g_cm3=3.58 energy_ev_per_atom=-4.0773 spacegroup="No. 65" pbc="T T T"
Be 0.0000 0.0000 0.0000
Be 1.6096 3.2146 1.6035
Be 1.6096 1.6783 0.0000
Be 1.6096 -1.6783 0.0000
Be 1.6096 -3.2146 1.6035
Cu 1.6096 0.0000 1.6035